Ba2YRh: optimized geometry, PBE-GGA.

Geometry as CIF:
```
data_Ba2YRh
_space_group_name_H-M_alt 'I -4 m 2'
_space_group_IT_number 119
_space_group_name_Hall 'I -4 -2'
_cell_length_a 5.6169
_cell_length_b 5.6169
_cell_length_c 7.8971
_cell_angle_alpha 90.00
_cell_angle_beta 90.00
_cell_angle_gamma 90.00
loop_
_atom_site_label
_atom_site_type_symbol
_atom_site_fract_x
_atom_site_fract_y
_atom_site_fract_z
_atom_site_occupancy
Ba1 Ba 0.0000 0.0000 0.0000 1
Ba2 Ba 0.0000 0.5000 0.2500 1
Y1 Y 0.0000 0.5000 0.7500 1
Rh1 Rh 0.0000 0.0000 0.5000 1
```

* energy of formation: 0.275 eV per atom
* volume: 31.1 Å³/atom
* E above lowest polymorph: 0.519 eV per atom
* M_tot: 0.0 μB/cell

=====

Ac2SmIn: optimized geometry, PBE-GGA.

Geometry as CIF:
```
data_Ac2SmIn
_space_group_name_H-M_alt 'F m -3 m'
_space_group_IT_number 225
_space_group_name_Hall '-F 4 2 3'
_cell_length_a 8.3348
_cell_length_b 8.3348
_cell_length_c 8.3348
_cell_angle_alpha 90.00
_cell_angle_beta 90.00
_cell_angle_gamma 90.00
loop_
_atom_site_label
_atom_site_type_symbol
_atom_site_fract_x
_atom_site_fract_y
_atom_site_fract_z
_atom_site_occupancy
Ac1 Ac 0.2500 0.2500 0.2500 1
Sm1 Sm 0.0000 0.0000 0.0000 1
In1 In 0.0000 0.0000 0.5000 1
```

* energy of formation: -0.082 eV per atom
* volume: 36.2 Å³/atom
* E above lowest polymorph: 0.120 eV per atom
* M_tot: 0.0 μB/cell

=====

LiMn2Br: optimized geometry, PBE-GGA.

Geometry as CIF:
```
data_LiMn2Br
_space_group_name_H-M_alt 'P m m m'
_space_group_IT_number 47
_space_group_name_Hall '-P 2 2'
_cell_length_a 3.7238
_cell_length_b 3.7366
_cell_length_c 5.5128
_cell_angle_alpha 90.00
_cell_angle_beta 90.00
_cell_angle_gamma 90.00
loop_
_atom_site_label
_atom_site_type_symbol
_atom_site_fract_x
_atom_site_fract_y
_atom_site_fract_z
_atom_site_occupancy
Li1 Li 0.0000 0.0000 0.0000 1
Mn1 Mn 0.0000 0.5000 0.5000 1
Mn2 Mn 0.5000 0.0000 0.5000 1
Br1 Br 0.5000 0.5000 0.0000 1
```

* energy relative to the elements, uncorrected: 231 meV per atom
* volume: 19.2 Å³/atom
* E above lowest polymorph: 0.175 eV per atom
* M_tot: 8.2 μB/cell

=====

Tb2Pm8In: optimized geometry, PBE-GGA.

Geometry as CIF:
```
data_Tb2Pm8In
_space_group_name_H-M_alt 'C 1 2/m 1'
_space_group_IT_number 12
_space_group_name_Hall '-C 2y'
_cell_length_a 18.3117
_cell_length_b 5.0404
_cell_length_c 8.0710
_cell_angle_alpha 90.00
_cell_angle_beta 105.61
_cell_angle_gamma 90.00
loop_
_atom_site_label
_atom_site_type_symbol
_atom_site_fract_x
_atom_site_fract_y
_atom_site_fract_z
_atom_site_occupancy
Tb1 Tb 0.2242 0.0000 0.1338 1
Pm1 Pm 0.0444 0.0000 0.2277 1
Pm2 Pm 0.0901 0.5000 0.9426 1
Pm3 Pm 0.1362 0.0000 0.6785 1
Pm4 Pm 0.1790 0.5000 0.4086 1
In1 In 0.0000 0.5000 0.5000 1
```

* energy of formation: -0.067 eV per atom
* volume: 32.6 Å³/atom
* E above lowest polymorph: 0.000 eV per atom
* M_tot: 0.0 μB/cell

=====

Y3Ho4Zr: optimized geometry, PBE-GGA.

Geometry as CIF:
```
data_Y3Ho4Zr
_space_group_name_H-M_alt 'C m m m'
_space_group_IT_number 65
_space_group_name_Hall '-C 2 2'
_cell_length_a 11.6311
_cell_length_b 13.0628
_cell_length_c 3.3403
_cell_angle_alpha 90.00
_cell_angle_beta 90.00
_cell_angle_gamma 90.00
loop_
_atom_site_label
_atom_site_type_symbol
_atom_site_fract_x
_atom_site_fract_y
_atom_site_fract_z
_atom_site_occupancy
Y1 Y 0.0000 0.0000 0.0000 1
Y2 Y 0.2500 0.2500 0.5000 1
Ho1 Ho 0.0000 0.2640 0.0000 1
Ho2 Ho 0.2275 0.5000 0.5000 1
Zr1 Zr 0.0000 0.5000 0.0000 1
```

* energy of formation: 0.466 eV per atom
* volume: 31.7 Å³/atom
* E above lowest polymorph: 0.258 eV per atom
* M_tot: 5.1 μB/cell